Ba4ZnGe3: optimized geometry, GGA-PBE.

The structure belongs to space group Pmm2 (No. 25); the cell edges are 4.453, 4.993 and 12.478 Å and the angles 90.00°, 90.00° and 90.00°. The asymmetric unit holds Ba at (0.000, 0.000, 0.000), Ba at (0.000, 0.500, 0.485), Ba at (0.500, 0.000, 0.716), Ba at (0.500, 0.500, 0.215), Zn at (0.000, 0.500, 0.806), Ge at (0.000, 0.000, 0.289), Ge at (0.500, 0.000, 0.413) and Ge at (0.500, 0.500, 0.919).

The energy is -26.7 eV for the cell shown. The energy of formation is -0.480 eV/atom.

PaBH: optimized geometry, GGA-PBE.

The structure belongs to space group F-43m (No. 216); the cell edges are 5.606, 5.606 and 5.606 Å and the angles 90.00°, 90.00° and 90.00°. The asymmetric unit holds Pa at (0.000, 0.000, 0.000), B at (0.250, 0.250, 0.250) and H at (0.250, 0.250, 0.750).

The energy is -75.8 eV for the cell shown.

CeSmGe2O8: optimized geometry, GGA-PBE.

The structure belongs to space group I-4 (No. 82); the cell edges are 5.153, 5.153 and 11.382 Å and the angles 90.00°, 90.00° and 90.00°. The asymmetric unit holds Ce at (0.000, 0.000, 0.000), Sm at (0.000, 0.500, 0.750), Ge at (0.000, 0.000, 0.500), Ge at (0.000, 0.500, 0.250), O at (0.150, 0.754, 0.167) and O at (0.157, 0.255, 0.579).

The energy is -175.8 eV for the cell shown. The value obtained for the formation energy without anion corrections is -2362 meV/atom.

CuSnPd5: optimized geometry, GGA-PBE.

The structure belongs to space group C2/c (No. 15); the cell edges are 8.659, 9.181 and 6.767 Å and the angles 90.00°, 118.73° and 90.00°. The asymmetric unit holds Cu at (0.250, 0.250, 0.000), Sn at (0.000, 0.192, 0.250), Pd at (0.000, 0.085, 0.750), Pd at (0.052, 0.359, 0.590) and Pd at (0.237, 0.418, 0.358).

The energy is -139.5 eV for the cell shown. The energy of formation is -0.116 eV/atom.

Ba8In2Rh: optimized geometry, GGA-PBE.

The structure belongs to space group C2/m (No. 12); the cell edges are 25.439, 4.634 and 9.546 Å and the angles 90.00°, 93.09° and 90.00°. The asymmetric unit holds Ba at (0.009, 0.000, 0.215), Ba at (0.102, 0.500, 0.523), Ba at (0.122, 0.500, 0.006), Ba at (0.237, 0.000, 0.709), In at (0.158, 0.000, 0.290) and Rh at (0.000, 0.500, 0.000).

The energy is -60.8 eV for the cell shown. The energy of formation is -0.199 eV/atom.

FeHgRhAu2: optimized geometry, GGA-PBE.

The structure belongs to space group P4/mmm (No. 123); the cell edges are 4.837, 4.837 and 4.561 Å and the angles 90.00°, 90.00° and 90.00°. The asymmetric unit holds Fe at (0.000, 0.000, 0.000), Hg at (0.500, 0.500, 0.500), Rh at (0.000, 0.000, 0.500) and Au at (0.000, 0.500, 0.000).

The energy is -18.8 eV for the cell shown. The energy of formation is 0.769 eV/atom.

TlNiCl: optimized geometry, GGA-PBE.

The structure belongs to space group I4mm (No. 107); the cell edges are 3.265, 3.265 and 12.290 Å and the angles 90.00°, 90.00° and 90.00°. The asymmetric unit holds Tl at (0.000, 0.000, 0.000), Ni at (0.000, 0.000, 0.688) and Cl at (0.000, 0.000, 0.248).

The energy is -19.6 eV for the cell shown. The value obtained for the formation energy without anion corrections is 59 meV/atom.

AcMg4Ga2: optimized geometry, GGA-PBE.

The structure belongs to space group Cmmm (No. 65); the cell edges are 4.548, 16.233 and 4.549 Å and the angles 90.00°, 90.00° and 90.00°. The asymmetric unit holds Ac at (0.000, 0.000, 0.000), Mg at (0.000, 0.180, 0.500), Mg at (0.000, 0.318, 0.000) and Ga at (0.000, 0.421, 0.500).

The energy is -37.4 eV for the cell shown. The energy of formation is -0.308 eV/atom.

TcBr2: optimized geometry, GGA-PBE.

The structure belongs to space group Pa-3 (No. 205); the cell edges are 6.300, 6.300 and 6.300 Å and the angles 90.00°, 90.00° and 90.00°. The asymmetric unit holds Tc at (0.000, 0.000, 0.000) and Br at (0.149, 0.649, 0.851).

The energy is -52.9 eV for the cell shown. The value obtained for the formation energy without anion corrections is 161 meV/atom.

K2AcF6: optimized geometry, GGA-PBE.

The structure belongs to space group C2/m (No. 12); the cell edges are 13.632, 6.254 and 4.355 Å and the angles 90.00°, 108.48° and 90.00°. The asymmetric unit holds K at (0.168, 0.000, 0.167), Ac at (0.000, 0.500, 0.500), F at (0.000, 0.285, 0.000) and F at (0.151, 0.266, 0.649).

The energy is -90.9 eV for the cell shown. The value obtained for the formation energy without anion corrections is -3100 meV/atom.

IrRh3W: optimized geometry, GGA-PBE.

The structure belongs to space group Pm-3m (No. 221); the cell edges are 4.665, 4.665 and 4.665 Å and the angles 90.00°, 90.00° and 90.00°. The asymmetric unit holds Ir at (0.000, 0.000, 0.000), Rh at (0.000, 0.000, 0.500) and W at (0.500, 0.500, 0.500).

The energy is -34.2 eV for the cell shown. The energy of formation is 1.935 eV/atom.

Cr2RhSe2: optimized geometry, GGA-PBE.

The structure belongs to space group I4/mmm (No. 139); the cell edges are 4.526, 4.526 and 7.742 Å and the angles 90.00°, 90.00° and 90.00°. The asymmetric unit holds Cr at (0.000, 0.000, 0.124), Rh at (0.000, 0.000, 0.500) and Se at (0.000, 0.500, 0.250).

The energy is -64.3 eV for the cell shown. The value obtained for the formation energy without anion corrections is 286 meV/atom.